1.
Entry from Alexandria: Sc15C19 after structural relaxation (GGA-PBEsol).

abc: 7.462 7.462 14.493
angles: 90.00 90.00 90.00
Space group P4/mnc (No. 128)
Symmetry-distinct sites (fractional):
Sc 0.000 0.000 0.000 x2
Sc 0.000 0.000 0.334 x4
Sc 0.094 0.297 0.500 x8
Sc 0.099 0.716 0.148 x16
C 0.000 0.000 0.162 x4
C 0.000 0.000 0.500 x2
C 0.094 0.303 0.334 x16
C 0.103 0.698 0.000 x8
C 0.152 0.348 0.250 x8

## Properties
Calculated formation energy   -0.46 eV/atom



2.
Entry from Alexandria: Sc2C after structural relaxation (GGA-PBEsol).

abc: 3.267 14.032 4.630
angles: 90.00 90.00 90.00
Space group Cmcm (No. 63)
Symmetry-distinct sites (fractional):
Sc 0.000 0.082 0.250 x4
Sc 0.000 0.301 0.250 x4
C 0.000 0.314 0.750 x4

## Properties
Calculated formation energy   -0.40 eV/atom



3.
Entry from Alexandria: Sc3C4 after structural relaxation (GGA-PBEsol).

abc: 7.429 7.429 14.926
angles: 90.00 90.00 90.00
Space group P4/mnc (No. 128)
Symmetry-distinct sites (fractional):
Sc 0.000 0.000 0.000 x2
Sc 0.000 0.000 0.312 x4
Sc 0.097 0.300 0.500 x8
Sc 0.100 0.712 0.144 x16
C 0.000 0.000 0.157 x4
C 0.000 0.000 0.457 x4
C 0.097 0.307 0.333 x16
C 0.106 0.697 0.000 x8
C 0.151 0.349 0.250 x8

## Properties
Calculated formation energy   -0.45 eV/atom